A relaxed structure of BaMg3Tl. Source: the Alexandria database, functional PBE.

```
data_BaMg3Tl
_chemical_formula_sum 'Ba2 Mg6 Tl2'
_symmetry_space_group_name_H-M 'P 1'
_symmetry_Int_Tables_number 1
_symmetry_space_group_name_Hall 'P 1'
_cell_length_a 7.035
_cell_length_b 6.919
_cell_length_c 7.030
_cell_angle_alpha 90.00
_cell_angle_beta 114.62
_cell_angle_gamma 90.00
loop_
_atom_site_label
_atom_site_fract_x
_atom_site_fract_y
_atom_site_fract_z
Ba1 0.290 0.448 0.509
Ba2 0.745 0.948 0.052
Mg1 0.815 0.198 0.578
Mg2 0.219 0.197 0.983
Mg3 0.219 0.698 0.983
Mg4 0.815 0.697 0.578
Mg5 0.423 0.948 0.375
Mg6 0.611 0.448 0.186
Tl1 0.856 0.448 0.942
Tl2 0.178 0.948 0.619
```

## Properties
- Energy above the most stable polymorph in this dataset: 0.000 eV per atom
- ΔH_f (0 K): -0.154 eV per atom
- Space-group type: P2_1/m
- Crystal system: monoclinic

A relaxed structure of LiB2. Source: the Alexandria database, functional PBE.

```
data_LiB2
_chemical_formula_sum 'Li4 B8'
_symmetry_space_group_name_H-M 'P 1'
_symmetry_Int_Tables_number 1
_symmetry_space_group_name_Hall 'P 1'
_cell_length_a 4.494
_cell_length_b 4.494
_cell_length_c 4.494
_cell_angle_alpha 90.00
_cell_angle_beta 90.00
_cell_angle_gamma 90.00
loop_
_atom_site_label
_atom_site_fract_x
_atom_site_fract_y
_atom_site_fract_z
Li1 0.500 0.500 0.500
Li2 0.000 0.000 0.500
Li3 0.500 0.000 0.000
Li4 0.000 0.500 0.000
B1 0.250 0.250 0.250
B2 0.000 0.500 0.500
B3 0.250 0.750 0.750
B4 0.000 0.000 0.000
B5 0.500 0.000 0.500
B6 0.500 0.500 0.000
B7 0.750 0.250 0.750
B8 0.750 0.750 0.250
```

## Properties
- Energy above the most stable polymorph in this dataset: 0.491 eV per atom
- ΔH_f (0 K): 0.384 eV per atom
- Space-group type: F-43m
- Crystal system: cubic

A relaxed structure of CsInSe2. Source: the Alexandria database, functional PBE.

```
data_CsInSe2
_chemical_formula_sum 'Cs4 In4 Se8'
_symmetry_space_group_name_H-M 'P 1'
_symmetry_Int_Tables_number 1
_symmetry_space_group_name_Hall 'P 1'
_cell_length_a 8.935
_cell_length_b 4.398
_cell_length_c 16.660
_cell_angle_alpha 90.00
_cell_angle_beta 90.00
_cell_angle_gamma 90.00
loop_
_atom_site_label
_atom_site_fract_x
_atom_site_fract_y
_atom_site_fract_z
Se1 0.862 0.250 0.719
Se2 0.138 0.750 0.281
Se3 0.167 0.750 0.545
Se4 0.667 0.750 0.955
Se5 0.638 0.750 0.219
Se6 0.362 0.250 0.781
Se7 0.833 0.250 0.455
Se8 0.333 0.250 0.045
Cs1 0.931 0.250 0.155
Cs2 0.069 0.750 0.845
Cs3 0.569 0.750 0.655
Cs4 0.431 0.250 0.345
In1 0.996 0.750 0.408
In2 0.004 0.250 0.592
In3 0.496 0.750 0.092
In4 0.504 0.250 0.908
```

## Properties
- Space-group type: Pnma
- E_form (uncorrected): -81 kJ per mole of atoms
- Crystal system: orthorhombic

A relaxed structure of EuPuCu4. Source: the Alexandria database, functional PBE.

```
data_EuPuCu4
_chemical_formula_sum 'Eu1 Pu1 Cu4'
_symmetry_space_group_name_H-M 'P 1'
_symmetry_Int_Tables_number 1
_symmetry_space_group_name_Hall 'P 1'
_cell_length_a 5.303
_cell_length_b 5.303
_cell_length_c 5.303
_cell_angle_alpha 60.00
_cell_angle_beta 60.00
_cell_angle_gamma 60.00
loop_
_atom_site_label
_atom_site_fract_x
_atom_site_fract_y
_atom_site_fract_z
Eu1 0.000 0.000 0.000
Cu1 0.126 0.625 0.625
Cu2 0.625 0.126 0.625
Cu3 0.625 0.625 0.625
Cu4 0.625 0.625 0.126
Pu1 0.250 0.250 0.250
```

## Properties
- ΔH_f (0 K): 0.032 eV per atom
- Space-group type: F-43m
- Crystal system: cubic

A relaxed structure of Pm2Nd5Er12. Source: the Alexandria database, functional PBE.

```
data_Pm2Nd5Er12
_chemical_formula_sum 'Pm2 Nd5 Er12'
_symmetry_space_group_name_H-M 'P 1'
_symmetry_Int_Tables_number 1
_symmetry_space_group_name_Hall 'P 1'
_cell_length_a 7.060
_cell_length_b 9.812
_cell_length_c 10.342
_cell_angle_alpha 70.36
_cell_angle_beta 90.00
_cell_angle_gamma 111.09
loop_
_atom_site_label
_atom_site_fract_x
_atom_site_fract_y
_atom_site_fract_z
Er1 0.405 0.317 0.132
Er2 0.911 0.317 0.132
Er3 0.025 0.050 0.755
Er4 0.975 0.950 0.245
Er5 0.585 0.675 0.520
Er6 0.496 0.993 0.673
Er7 0.909 0.325 0.480
Er8 0.415 0.325 0.480
Er9 0.504 0.007 0.327
Er10 0.089 0.683 0.868
Er11 0.091 0.675 0.520
Er12 0.595 0.683 0.868
Pm1 0.722 0.000 0.000
Pm2 0.278 0.000 0.000
Nd1 0.811 0.622 0.185
Nd2 0.189 0.378 0.815
Nd3 0.682 0.363 0.788
Nd4 0.318 0.637 0.212
Nd5 0.000 0.000 0.500
```

## Properties
- Energy above the most stable polymorph in this dataset: 0.154 eV per atom
- ΔH_f (0 K): 0.174 eV per atom
- Space-group type: C2/m
- Crystal system: monoclinic

A relaxed structure of LaNpCl6. Source: the Alexandria database, functional PBE.

```
data_LaNpCl6
_chemical_formula_sum 'La1 Np1 Cl6'
_symmetry_space_group_name_H-M 'P 1'
_symmetry_Int_Tables_number 1
_symmetry_space_group_name_Hall 'P 1'
_cell_length_a 4.940
_cell_length_b 7.459
_cell_length_c 7.461
_cell_angle_alpha 70.15
_cell_angle_beta 70.68
_cell_angle_gamma 70.66
loop_
_atom_site_label
_atom_site_fract_x
_atom_site_fract_y
_atom_site_fract_z
La1 0.000 0.000 0.000
Cl1 0.935 0.402 0.728
Cl2 0.749 0.253 0.251
Cl3 0.251 0.747 0.749
Cl4 0.564 0.107 0.766
Cl5 0.065 0.598 0.272
Cl6 0.436 0.893 0.234
Np1 0.500 0.500 0.500
```

## Properties
- Space-group type: C2/m
- E_form (uncorrected): -193 kJ per mole of atoms
- Crystal system: monoclinic

A relaxed structure of Sm2Ga2PdPt5. Source: the Alexandria database, functional PBE.

```
data_Sm2Ga2PdPt5
_chemical_formula_sum 'Sm4 Ga4 Pd2 Pt10'
_symmetry_space_group_name_H-M 'P 1'
_symmetry_Int_Tables_number 1
_symmetry_space_group_name_Hall 'P 1'
_cell_length_a 3.802
_cell_length_b 9.758
_cell_length_c 9.758
_cell_angle_alpha 90.00
_cell_angle_beta 90.00
_cell_angle_gamma 90.00
loop_
_atom_site_label
_atom_site_fract_x
_atom_site_fract_y
_atom_site_fract_z
Sm1 0.000 0.677 0.177
Sm2 0.000 0.823 0.677
Sm3 0.000 0.323 0.823
Sm4 0.000 0.177 0.323
Pt1 0.500 0.204 0.062
Pt2 0.500 0.062 0.796
Pt3 0.500 0.704 0.438
Pt4 0.500 0.938 0.204
Pt5 0.500 0.796 0.938
Pt6 0.500 0.296 0.562
Pt7 0.500 0.438 0.296
Pt8 0.500 0.500 0.000
Pt9 0.500 0.000 0.500
Pt10 0.500 0.562 0.704
Ga1 0.000 0.378 0.122
Ga2 0.000 0.622 0.878
Ga3 0.000 0.878 0.378
Ga4 0.000 0.122 0.622
Pd1 0.000 0.500 0.500
Pd2 0.000 0.000 0.000
```

## Properties
- ΔH_f (0 K): -0.810 eV per atom
- Space-group type: P4/mbm
- Crystal system: tetragonal

A relaxed structure of NpUTcOs. Source: the Alexandria database, functional PBE.

```
data_NpUTcOs
_chemical_formula_sum 'Np1 U1 Tc1 Os1'
_symmetry_space_group_name_H-M 'P 1'
_symmetry_Int_Tables_number 1
_symmetry_space_group_name_Hall 'P 1'
_cell_length_a 4.770
_cell_length_b 4.770
_cell_length_c 4.770
_cell_angle_alpha 60.00
_cell_angle_beta 60.00
_cell_angle_gamma 60.00
loop_
_atom_site_label
_atom_site_fract_x
_atom_site_fract_y
_atom_site_fract_z
Np1 0.000 0.000 0.000
Tc1 0.250 0.250 0.250
U1 0.500 0.500 0.500
Os1 0.750 0.750 0.750
```

## Properties
- ΔH_f (0 K): 0.097 eV per atom
- Space-group type: F-43m
- Crystal system: cubic

A relaxed structure of KTcPd. Source: the Alexandria database, functional PBE.

```
data_KTcPd
_chemical_formula_sum 'K2 Tc2 Pd2'
_symmetry_space_group_name_H-M 'P 1'
_symmetry_Int_Tables_number 1
_symmetry_space_group_name_Hall 'P 1'
_cell_length_a 4.231
_cell_length_b 11.626
_cell_length_c 4.231
_cell_angle_alpha 79.30
_cell_angle_beta 120.00
_cell_angle_gamma 100.32
loop_
_atom_site_label
_atom_site_fract_x
_atom_site_fract_y
_atom_site_fract_z
K1 0.434 0.660 0.156
K2 0.629 0.280 0.938
Pd1 0.904 0.093 0.671
Pd2 0.826 0.848 0.757
Tc1 0.199 0.970 0.381
Tc2 0.532 0.970 0.047
```

## Properties
- Energy above the most stable polymorph in this dataset: 0.002 eV per atom
- ΔH_f (0 K): 0.246 eV per atom
- Space-group type: P1
- Crystal system: triclinic

A relaxed structure of ZnCd2Ni2Pt5. Source: the Alexandria database, functional PBE.

```
data_ZnCd2Ni2Pt5
_chemical_formula_sum 'Zn2 Cd4 Ni4 Pt10'
_symmetry_space_group_name_H-M 'P 1'
_symmetry_Int_Tables_number 1
_symmetry_space_group_name_Hall 'P 1'
_cell_length_a 3.931
_cell_length_b 9.034
_cell_length_c 9.034
_cell_angle_alpha 90.00
_cell_angle_beta 90.00
_cell_angle_gamma 90.00
loop_
_atom_site_label
_atom_site_fract_x
_atom_site_fract_y
_atom_site_fract_z
Cd1 0.000 0.828 0.672
Cd2 0.000 0.172 0.328
Cd3 0.000 0.672 0.172
Cd4 0.000 0.328 0.828
Ni1 0.000 0.875 0.375
Ni2 0.000 0.375 0.125
Ni3 0.000 0.125 0.625
Ni4 0.000 0.625 0.875
Pt1 0.500 0.700 0.426
Pt2 0.500 0.800 0.926
Pt3 0.500 0.074 0.800
Pt4 0.500 0.200 0.074
Pt5 0.500 0.926 0.200
Pt6 0.500 0.000 0.500
Pt7 0.500 0.574 0.700
Pt8 0.500 0.500 0.000
Pt9 0.500 0.300 0.574
Pt10 0.500 0.426 0.300
Zn1 0.000 0.500 0.500
Zn2 0.000 0.000 0.000
```

## Properties
- ΔH_f (0 K): -0.179 eV per atom
- Space-group type: P4/mbm
- Crystal system: tetragonal

A relaxed structure of Ca5ZrBi5. Source: the Alexandria database, functional PBE.

```
data_Ca5ZrBi5
_chemical_formula_sum 'Ca5 Zr1 Bi5'
_symmetry_space_group_name_H-M 'P 1'
_symmetry_Int_Tables_number 1
_symmetry_space_group_name_Hall 'P 1'
_cell_length_a 6.329
_cell_length_b 8.130
_cell_length_c 8.739
_cell_angle_alpha 106.12
_cell_angle_beta 90.00
_cell_angle_gamma 112.91
loop_
_atom_site_label
_atom_site_fract_x
_atom_site_fract_y
_atom_site_fract_z
Ca1 0.675 0.350 0.851
Ca2 0.000 0.000 0.500
Ca3 0.316 0.632 0.677
Ca4 0.684 0.368 0.323
Ca5 0.325 0.650 0.149
Bi1 0.850 0.701 0.167
Bi2 0.150 0.299 0.833
Bi3 0.157 0.314 0.322
Bi4 0.500 0.000 0.000
Bi5 0.843 0.686 0.678
Zr1 0.000 0.000 0.000
```

## Properties
- ΔH_f (0 K): -0.592 eV per atom
- Space-group type: C2/m
- Crystal system: monoclinic

A relaxed structure of Ge3PN. Source: the Alexandria database, functional PBE.

```
data_Ge3PN
_chemical_formula_sum 'Ge3 P1 N1'
_symmetry_space_group_name_H-M 'P 1'
_symmetry_Int_Tables_number 1
_symmetry_space_group_name_Hall 'P 1'
_cell_length_a 4.719
_cell_length_b 4.719
_cell_length_c 4.719
_cell_angle_alpha 90.00
_cell_angle_beta 90.00
_cell_angle_gamma 90.00
loop_
_atom_site_label
_atom_site_fract_x
_atom_site_fract_y
_atom_site_fract_z
Ge1 0.000 0.000 0.500
Ge2 0.500 0.000 0.000
Ge3 0.000 0.500 0.000
P1 0.000 0.000 0.000
N1 0.500 0.500 0.500
```

## Properties
- Energy above the most stable polymorph in this dataset: 0.857 eV per atom
- Space-group type: Pm-3m
- E_form (uncorrected): 154 kJ per mole of atoms
- Crystal system: cubic

A relaxed structure of ScTlCo2. Source: the Alexandria database, functional PBE.

```
data_ScTlCo2
_chemical_formula_sum 'Sc1 Tl1 Co2'
_symmetry_space_group_name_H-M 'P 1'
_symmetry_Int_Tables_number 1
_symmetry_space_group_name_Hall 'P 1'
_cell_length_a 3.212
_cell_length_b 3.189
_cell_length_c 6.904
_cell_angle_alpha 62.49
_cell_angle_beta 90.00
_cell_angle_gamma 90.00
loop_
_atom_site_label
_atom_site_fract_x
_atom_site_fract_y
_atom_site_fract_z
Sc1 0.500 0.250 0.250
Tl1 0.500 0.750 0.750
Co1 0.000 0.509 0.491
Co2 0.000 0.991 0.009
```

## Properties
- ΔH_f (0 K): 0.073 eV per atom
- Space-group type: Pmmm
- Crystal system: orthorhombic

A relaxed structure of Cs4Nb2Si8O23. Source: the Alexandria database, functional PBE.

```
data_Cs4Nb2Si8O23
_chemical_formula_sum 'Cs4 Nb2 Si8 O23'
_symmetry_space_group_name_H-M 'P 1'
_symmetry_Int_Tables_number 1
_symmetry_space_group_name_Hall 'P 1'
_cell_length_a 7.112
_cell_length_b 8.059
_cell_length_c 11.263
_cell_angle_alpha 103.16
_cell_angle_beta 89.77
_cell_angle_gamma 108.25
loop_
_atom_site_label
_atom_site_fract_x
_atom_site_fract_y
_atom_site_fract_z
Nb1 0.704 0.740 0.188
Nb2 0.296 0.260 0.812
Cs1 0.826 0.284 0.636
Cs2 0.174 0.716 0.364
Cs3 0.208 0.782 0.014
Cs4 0.792 0.218 0.986
Si1 0.342 0.326 0.130
Si2 0.996 0.816 0.707
Si3 0.435 0.864 0.714
Si4 0.352 0.298 0.496
Si5 0.658 0.674 0.870
Si6 0.648 0.702 0.504
Si7 0.004 0.184 0.293
Si8 0.565 0.136 0.286
O1 0.137 0.266 0.426
O2 0.139 0.399 0.846
O3 0.500 0.500 0.500
O4 0.861 0.601 0.154
O5 0.195 0.752 0.682
O6 0.683 0.737 0.370
O7 0.528 0.929 0.223
O8 0.480 0.238 0.198
O9 0.544 0.843 0.584
O10 0.127 0.290 0.194
O11 0.805 0.248 0.318
O12 0.472 0.071 0.777
O13 0.317 0.263 0.630
O14 0.863 0.734 0.574
O15 0.520 0.762 0.802
O16 0.950 0.969 0.244
O17 0.050 0.031 0.756
O18 0.439 0.543 0.154
O19 0.561 0.457 0.846
O20 0.308 0.225 0.986
O21 0.873 0.710 0.806
O22 0.456 0.157 0.416
O23 0.692 0.775 0.014
```

## Properties
- Space-group type: P-1
- E_form (uncorrected): -258 kJ per mole of atoms
- Crystal system: triclinic

A relaxed structure of MgCr. Source: the Alexandria database, functional PBE.

```
data_MgCr
_chemical_formula_sum 'Mg6 Cr6'
_symmetry_space_group_name_H-M 'P 1'
_symmetry_Int_Tables_number 1
_symmetry_space_group_name_Hall 'P 1'
_cell_length_a 8.575
_cell_length_b 8.575
_cell_length_c 3.242
_cell_angle_alpha 90.00
_cell_angle_beta 90.00
_cell_angle_gamma 120.00
loop_
_atom_site_label
_atom_site_fract_x
_atom_site_fract_y
_atom_site_fract_z
Mg1 0.165 0.835 0.750
Mg2 0.670 0.835 0.750
Mg3 0.835 0.165 0.250
Mg4 0.835 0.670 0.250
Mg5 0.165 0.330 0.750
Mg6 0.330 0.165 0.250
Cr1 0.898 0.449 0.750
Cr2 0.102 0.551 0.250
Cr3 0.551 0.449 0.750
Cr4 0.449 0.551 0.250
Cr5 0.449 0.898 0.250
Cr6 0.551 0.102 0.750
```

## Properties
- Energy above the most stable polymorph in this dataset: 0.297 eV per atom
- ΔH_f (0 K): 0.542 eV per atom
- Space-group type: P6_3/mmc
- Crystal system: hexagonal

Calculated volume, 311.10; 90.78; 654.66; 105.44; 623.56; 236.50; 362.03; 76.75; 176.16; 320.81; 394.92; 105.08; 62.73; 595.35; 206.43 Å³ per cell (same order as the records).
Calculated E_tot, -1.969; -4.705; -3.475; -6.800; -4.462; -5.616; -5.899; -11.359; -5.306; -4.666; -4.043; -3.920; -5.655; -7.562; -5.067 eV/atom (same order as the records).